Here is a relaxed FeSb2Ir crystal from Alexandria. Energies are from GGA-PBE.

Properties
- E above lowest polymorph (meV/atom) = 0
- space group = No. 164
- calculated total energy (eV per atom) = -6.50

Unit cell a=4.125 b=4.125 c=5.178 alpha=90.00 beta=90.00 gamma=59.99
Each line ends with the local moment (μB).
Fractional positions:
Sb (0.042, 0.042, 0.991)  -0.03
Sb (0.708, 0.708, 0.509)  -0.03
Ir (0.375, 0.375, 0.250)  0.20
Fe (0.375, 0.375, 0.750)  1.83

=====

Here is a relaxed Sc3TlN crystal from Alexandria. Energies are from GGA-PBE.

Properties
- space group = No. 167
- calculated total energy (eV per atom) = -6.32

Unit cell a=6.039 b=6.039 c=6.039 alpha=82.75 beta=82.75 gamma=82.75
Fractional positions:
Sc (0.000, 0.500, 0.250)
Sc (0.500, 0.250, 0.000)
Sc (0.250, 0.000, 0.500)
Sc (0.750, 0.000, 0.500)
Sc (0.500, 0.750, 0.000)
Sc (0.000, 0.500, 0.750)
Tl (0.000, 0.000, 0.000)
Tl (0.500, 0.500, 0.500)
N (0.250, 0.250, 0.250)
N (0.750, 0.750, 0.750)

=====

Here is a relaxed Na2ZnCl4 crystal from Alexandria. Energies are from GGA-PBE.

Properties
- E above lowest polymorph (meV/atom) = 47
- space group = No. 11
- calculated total energy (eV per atom) = -3.11

Unit cell a=6.763 b=7.133 c=7.733 alpha=90.00 beta=106.35 gamma=90.00
Fractional positions:
Na (0.704, 0.750, 0.049)
Na (0.296, 0.250, 0.951)
Na (0.272, 0.250, 0.443)
Na (0.728, 0.750, 0.557)
Zn (0.235, 0.750, 0.187)
Zn (0.765, 0.250, 0.813)
Cl (0.472, 0.507, 0.247)
Cl (0.043, 0.750, 0.895)
Cl (0.957, 0.250, 0.105)
Cl (0.472, 0.993, 0.247)
Cl (0.974, 0.250, 0.631)
Cl (0.528, 0.007, 0.753)
Cl (0.528, 0.493, 0.753)
Cl (0.026, 0.750, 0.369)

=====

Here is a relaxed Nd6TlGe2 crystal from Alexandria. Energies are from GGA-PBE.

Properties
- formation enthalpy at 0 K (kJ/mol of formula units) = -436.3
- space group = No. 71
- calculated total energy (eV per atom) = -4.97

Unit cell a=8.896 b=8.896 c=8.896 alpha=106.69 beta=109.83 gamma=111.93
Fractional positions:
Nd (0.544, 0.725, 0.818)
Nd (0.456, 0.275, 0.182)
Nd (0.093, 0.275, 0.818)
Nd (0.907, 0.725, 0.182)
Nd (0.797, 0.753, 0.549)
Nd (0.203, 0.247, 0.451)
Nd (0.203, 0.753, 0.956)
Nd (0.797, 0.247, 0.044)
Nd (0.705, 0.380, 0.675)
Nd (0.295, 0.620, 0.325)
Nd (0.295, 0.970, 0.675)
Nd (0.705, 0.030, 0.325)
Tl (0.000, 0.500, 0.500)
Tl (0.000, 0.000, 0.000)
Ge (0.500, 0.381, 0.881)
Ge (0.500, 0.619, 0.119)
Ge (0.639, 0.000, 0.639)
Ge (0.361, 0.000, 0.361)

=====

Here is a relaxed TbPm4Dy7 crystal from Alexandria. Energies are from GGA-PBE.

Properties
- E above lowest polymorph (meV/atom) = 0
- formation enthalpy at 0 K (kJ/mol of formula units) = 100.2
- space group = No. 2
- calculated total energy (eV per atom) = -4.57

Unit cell a=6.836 b=6.552 c=11.823 alpha=75.43 beta=50.14 gamma=82.02
Fractional positions:
Tb (0.000, 0.000, 0.000)
Pm (0.526, 0.639, 0.283)
Pm (0.474, 0.361, 0.717)
Pm (0.692, 0.839, 0.692)
Pm (0.308, 0.161, 0.308)
Dy (0.803, 0.512, 0.949)
Dy (0.197, 0.488, 0.051)
Dy (0.057, 0.317, 0.641)
Dy (0.943, 0.683, 0.359)
Dy (0.280, 0.811, 0.615)
Dy (0.500, 0.000, 0.000)
Dy (0.720, 0.189, 0.385)

=====

Here is a relaxed Ce3TcC3 crystal from Alexandria. Energies are from GGA-PBE.

Properties
- E above lowest polymorph (meV/atom) = 0
- formation enthalpy at 0 K (kJ/mol of formula units) = -157.6
- space group = No. 63
- calculated total energy (eV per atom) = -8.21

Unit cell a=5.264 b=6.798 c=6.798 alpha=99.12 beta=90.00 gamma=90.00
Fractional positions:
Ce (0.750, 0.584, 0.829)
Ce (0.750, 0.116, 0.884)
Ce (0.750, 0.171, 0.416)
Ce (0.250, 0.416, 0.171)
Ce (0.250, 0.884, 0.116)
Ce (0.250, 0.829, 0.584)
Tc (0.250, 0.310, 0.690)
Tc (0.750, 0.690, 0.310)
C (0.250, 0.587, 0.838)
C (0.250, 0.120, 0.880)
C (0.250, 0.162, 0.413)
C (0.750, 0.413, 0.162)
C (0.750, 0.880, 0.120)
C (0.750, 0.838, 0.587)